1.
# PBE PPt2IBr, optimized geometry
data_PPt2IBr
_cell_length_a 5.0348
_cell_length_b 5.0348
_cell_length_c 5.7017
_cell_angle_alpha 90.00
_cell_angle_beta 90.00
_cell_angle_gamma 90.00
_space_group_name_H-M_alt 'P 1'
_space_group_IT_number 1
_space_group_name_Hall 'P 1'
loop_
_atom_site_label
_atom_site_type_symbol
_atom_site_fract_x
_atom_site_fract_y
_atom_site_fract_z
P1 P 0.0000 0.0000 0.0000
Pt1 Pt 0.0000 0.5000 0.5000
Pt2 Pt 0.5000 0.0000 0.5000
I1 I 0.5000 0.5000 0.5000
Br1 Br 0.5000 0.5000 0.0000
# Formation energy from raw total energies = 141 kJ/mol of atoms
# N(E_F) = 4.18 states/eV/f.u.
# Calculated density = 7.21 g/cm3

2.
# PBE SmGdMgMn, optimized geometry
data_SmGdMgMn
_cell_length_a 5.2636
_cell_length_b 5.2636
_cell_length_c 5.2636
_cell_angle_alpha 60.00
_cell_angle_beta 60.00
_cell_angle_gamma 60.00
_space_group_name_H-M_alt 'P 1'
_space_group_IT_number 1
_space_group_name_Hall 'P 1'
loop_
_atom_site_label
_atom_site_type_symbol
_atom_site_fract_x
_atom_site_fract_y
_atom_site_fract_z
Sm1 Sm 0.0000 0.0000 0.0000
Gd1 Gd 0.5000 0.5000 0.5000
Mg1 Mg 0.7500 0.7500 0.7500
Mn1 Mn 0.2500 0.2500 0.2500
# ΔH_f (0 K) = 0.1246 eV/atom
# N(E_F) = 4.53 states/eV/f.u.
# Calculated density = 6.23 g/cm3

3.
# PBE Be17FeOs, optimized geometry
data_Be17FeOs
_cell_length_a 5.4197
_cell_length_b 5.4197
_cell_length_c 5.4197
_cell_angle_alpha 82.71
_cell_angle_beta 82.71
_cell_angle_gamma 82.71
_space_group_name_H-M_alt 'P 1'
_space_group_IT_number 1
_space_group_name_Hall 'P 1'
loop_
_atom_site_label
_atom_site_type_symbol
_atom_site_fract_x
_atom_site_fract_y
_atom_site_fract_z
Be1 Be 0.0526 0.0526 0.0526
Be2 Be 0.1520 0.1520 0.6548
Be3 Be 0.1520 0.6548 0.1520
Be4 Be 0.1562 0.4605 0.8459
Be5 Be 0.1562 0.8459 0.4605
Be6 Be 0.2595 0.2595 0.2595
Be7 Be 0.3148 0.8043 0.8043
Be8 Be 0.4605 0.1562 0.8459
Be9 Be 0.4605 0.8459 0.1562
Be10 Be 0.5046 0.5046 0.9908
Be11 Be 0.5046 0.9908 0.5046
Be12 Be 0.6548 0.1520 0.1520
Be13 Be 0.8043 0.3148 0.8043
Be14 Be 0.8043 0.8043 0.3148
Be15 Be 0.8459 0.1562 0.4605
Be16 Be 0.8459 0.4605 0.1562
Be17 Be 0.9908 0.5046 0.5046
Fe1 Fe 0.4968 0.4968 0.4968
Os1 Os 0.8169 0.8169 0.8169
# ΔH_f (0 K) = -0.1143 eV/atom
# N(E_F) = 5.45 states/eV/f.u.
# Calculated density = 4.26 g/cm3

4.
# PBE Tb7Sm12Th, optimized geometry
data_Tb7Sm12Th
_cell_length_a 8.7688
_cell_length_b 8.7688
_cell_length_c 8.7688
_cell_angle_alpha 89.82
_cell_angle_beta 89.82
_cell_angle_gamma 89.82
_space_group_name_H-M_alt 'P 1'
_space_group_IT_number 1
_space_group_name_Hall 'P 1'
loop_
_atom_site_label
_atom_site_type_symbol
_atom_site_fract_x
_atom_site_fract_y
_atom_site_fract_z
Tb1 Tb 0.0000 0.0000 0.0000
Tb2 Tb 0.1198 0.4436 0.3468
Tb3 Tb 0.3468 0.1198 0.4436
Tb4 Tb 0.4436 0.3468 0.1198
Tb5 Tb 0.5564 0.6532 0.8802
Tb6 Tb 0.6532 0.8802 0.5564
Tb7 Tb 0.8802 0.5564 0.6532
Sm1 Sm 0.0036 0.1201 0.6473
Sm2 Sm 0.1201 0.6473 0.0036
Sm3 Sm 0.2209 0.7619 0.6271
Sm4 Sm 0.2381 0.3729 0.7791
Sm5 Sm 0.3527 0.9964 0.8799
Sm6 Sm 0.3729 0.7791 0.2381
Sm7 Sm 0.6271 0.2209 0.7619
Sm8 Sm 0.6473 0.0036 0.1201
Sm9 Sm 0.7619 0.6271 0.2209
Sm10 Sm 0.7791 0.2381 0.3729
Sm11 Sm 0.8799 0.3527 0.9964
Sm12 Sm 0.9964 0.8799 0.3527
Th1 Th 0.5000 0.5000 0.5000
# ΔH_f (0 K) = 0.2300 eV/atom
# N(E_F) = 36.28 states/eV/f.u.
# Calculated density = 7.75 g/cm3

5.
# PBE Nd6SiGe2Cl3, optimized geometry
data_Nd6SiGe2Cl3
_cell_length_a 9.5054
_cell_length_b 9.5054
_cell_length_c 8.4901
_cell_angle_alpha 102.44
_cell_angle_beta 102.44
_cell_angle_gamma 25.99
_space_group_name_H-M_alt 'P 1'
_space_group_IT_number 1
_space_group_name_Hall 'P 1'
loop_
_atom_site_label
_atom_site_type_symbol
_atom_site_fract_x
_atom_site_fract_y
_atom_site_fract_z
Nd1 Nd 0.0038 0.0038 0.2338
Nd2 Nd 0.3288 0.3288 0.4299
Nd3 Nd 0.3400 0.3400 0.9073
Nd4 Nd 0.6600 0.6600 0.0927
Nd5 Nd 0.6712 0.6712 0.5701
Nd6 Nd 0.9962 0.9962 0.7662
Si1 Si 0.5000 0.5000 0.0000
Ge1 Ge 0.1667 0.1667 0.3329
Ge2 Ge 0.8333 0.8333 0.6671
Cl1 Cl 0.1673 0.1673 0.8333
Cl2 Cl 0.5000 0.5000 0.5000
Cl3 Cl 0.8327 0.8327 0.1667
# Formation energy from raw total energies = -119 kJ/mol of atoms
# N(E_F) = 5.36 states/eV/f.u.
# Calculated density = 5.80 g/cm3

6.
# PBE Li3SN, optimized geometry
data_Li3SN
_cell_length_a 3.9527
_cell_length_b 3.9527
_cell_length_c 3.9527
_cell_angle_alpha 90.00
_cell_angle_beta 90.00
_cell_angle_gamma 90.00
_space_group_name_H-M_alt 'P 1'
_space_group_IT_number 1
_space_group_name_Hall 'P 1'
loop_
_atom_site_label
_atom_site_type_symbol
_atom_site_fract_x
_atom_site_fract_y
_atom_site_fract_z
Li1 Li 0.0000 0.0000 0.5000
Li2 Li 0.0000 0.5000 0.0000
Li3 Li 0.5000 0.0000 0.0000
S1 S 0.5000 0.5000 0.5000
N1 N 0.0000 0.0000 0.0000
# Formation energy from raw total energies = -34 kJ/mol of atoms
# N(E_F) = 0.98 states/eV/f.u.
# Calculated density = 1.80 g/cm3

7.
# PBE LiSiAs2Br, optimized geometry
data_LiSiAs2Br
_cell_length_a 4.4341
_cell_length_b 4.4341
_cell_length_c 5.5198
_cell_angle_alpha 90.00
_cell_angle_beta 90.00
_cell_angle_gamma 90.00
_space_group_name_H-M_alt 'P 1'
_space_group_IT_number 1
_space_group_name_Hall 'P 1'
loop_
_atom_site_label
_atom_site_type_symbol
_atom_site_fract_x
_atom_site_fract_y
_atom_site_fract_z
Li1 Li 0.0000 0.0000 0.0000
Si1 Si 0.0000 0.0000 0.5000
As1 As 0.0000 0.5000 0.0000
As2 As 0.5000 0.0000 0.0000
Br1 Br 0.5000 0.5000 0.5000
# Formation energy from raw total energies = 63 kJ/mol of atoms
# N(E_F) = 3.79 states/eV/f.u.
# Calculated density = 4.05 g/cm3

8.
# PBE CeGe3Rh2, optimized geometry
data_CeGe3Rh2
_cell_length_a 7.7265
_cell_length_b 7.7265
_cell_length_c 7.7265
_cell_angle_alpha 45.97
_cell_angle_beta 45.97
_cell_angle_gamma 45.97
_space_group_name_H-M_alt 'P 1'
_space_group_IT_number 1
_space_group_name_Hall 'P 1'
loop_
_atom_site_label
_atom_site_type_symbol
_atom_site_fract_x
_atom_site_fract_y
_atom_site_fract_z
Ce1 Ce 0.2103 0.2103 0.2103
Ce2 Ce 0.7897 0.7897 0.7897
Ge1 Ge 0.2444 0.7420 0.7420
Ge2 Ge 0.2580 0.2580 0.7556
Ge3 Ge 0.2580 0.7556 0.2580
Ge4 Ge 0.7420 0.2444 0.7420
Ge5 Ge 0.7420 0.7420 0.2444
Ge6 Ge 0.7556 0.2580 0.2580
Rh1 Rh 0.0000 0.0000 0.0000
Rh2 Rh 0.0000 0.5000 0.5000
Rh3 Rh 0.5000 0.0000 0.5000
Rh4 Rh 0.5000 0.5000 0.0000
# ΔH_f (0 K) = -0.5469 eV/atom
# N(E_F) = 5.88 states/eV/f.u.
# Calculated density = 8.61 g/cm3